An optimized crystal structure of Cs2PbI7. Source: the Alexandria database, functional GGA-PBE.

Summary:
As for the energy: -2.335 eV/atom. The calculation puts the raw formation energy at -0.708 eV/atom. The calculation puts the volume at 1050.2 Å³ per cell. The value obtained for the density of states at the Fermi level is 5.103 states/eV/f.u. The value obtained for the total magnetic moment is 0.00 μB/atom.

Cell and atoms, written as CIF:
```
data_Cs2PbI7
_chemical_formula_sum 'Cs4 Pb2 I14'
_cell_length_a 9.205
_cell_length_b 9.205
_cell_length_c 12.396
_cell_angle_alpha 90.00
_cell_angle_beta 90.00
_cell_angle_gamma 90.00
_symmetry_space_group_name_H-M 'I 4/m m m'
_symmetry_Int_Tables_number 139
_symmetry_space_group_name_Hall '-I 4 2'
loop_
_atom_site_label
_atom_site_type_symbol
_atom_site_fract_x
_atom_site_fract_y
_atom_site_fract_z
_atom_site_occupancy
Cs1 Cs 0.000 0.500 0.250 1
Pb1 Pb 0.000 0.000 0.000 1
I1 I 0.000 0.000 0.249 1
I2 I 0.000 0.000 0.500 1
I3 I 0.237 0.237 0.000 1
```